1.
La4Ni (meta-GGA SCAN, PBEsol geometry); DOS at the Fermi energy = 1.23 states/eV/atom; formation energy = -79 meV/atom; total magnetization = 0.00 μB per cell; total DFT energy (no corrections) = -37.798 eV/atom
1.0
-3.533 0.394 -0.567
-2.965 -2.392 5.378
-1.554 5.943 2.388
La Ni
4 1
direct
0.572 0.671 0.186
0.757 0.814 0.671
0.428 0.329 0.814
0.243 0.186 0.329
0.000 0.000 0.000

2.
La3Ni (meta-GGA SCAN, PBEsol geometry); DOS at the Fermi energy = 1.33 states/eV/atom; formation energy = -67 meV/atom; total magnetization = 0.00 μB per cell; total DFT energy (no corrections) = -36.439 eV/atom
1.0
3.557 0.067 0.000
-0.063 3.557 0.000
0.000 0.000 8.630
Ni La
1 3
direct
0.500 0.500 0.500
0.000 0.000 0.690
0.500 0.500 0.000
0.000 0.000 0.310

3.
La5Ni (meta-GGA SCAN, PBEsol geometry); DOS at the Fermi energy = 0.96 states/eV/atom; formation energy = 110 meV/atom; total magnetization = 0.00 μB per cell; total DFT energy (no corrections) = -38.506 eV/atom
1.0
-2.759 -1.642 4.209
4.586 -3.580 1.610
-0.260 5.674 2.043
La Ni
5 1
direct
0.000 0.707 0.000
0.500 0.333 0.667
0.500 0.667 0.333
0.000 0.000 0.707
0.000 0.293 0.293
0.500 0.000 0.000

4.
La3Ni (meta-GGA SCAN, PBEsol geometry); DOS at the Fermi energy = 1.43 states/eV/atom; formation energy = -88 meV/atom; total magnetization = 0.00 μB per cell; total DFT energy (no corrections) = -36.460 eV/atom
1.0
3.579 0.000 0.000
0.000 5.903 0.000
-1.790 -2.951 5.240
La Ni
3 1
direct
0.500 0.928 0.000
0.691 0.660 0.382
0.309 0.278 0.618
0.000 0.301 0.000

5.
La3Ni2 (meta-GGA SCAN, PBEsol geometry); DOS at the Fermi energy = 0.96 states/eV/atom; formation energy = -141 meV/atom; total magnetization = 0.00 μB per cell; total DFT energy (no corrections) = -32.473 eV/atom
1.0
3.987 0.000 0.000
1.994 3.453 0.000
1.994 1.151 9.676
La Ni
3 2
direct
0.222 0.222 0.334
0.000 0.000 0.000
0.778 0.778 0.666
0.393 0.393 0.822
0.607 0.607 0.178

6.
La3Ni (meta-GGA SCAN, PBEsol geometry); DOS at the Fermi energy = 1.00 states/eV/atom; formation energy = -188 meV/atom; total magnetization = 0.00 μB per cell; total DFT energy (no corrections) = -36.561 eV/atom
1.0
-5.022 0.147 4.035
-3.958 -3.206 -4.809
2.704 -8.873 3.689
La Ni
12 4
direct
0.170 0.669 0.434
0.830 0.331 0.566
0.330 0.169 0.066
0.854 0.035 0.250
0.170 0.669 0.066
0.646 0.535 0.250
0.354 0.465 0.750
0.830 0.331 0.934
0.670 0.831 0.934
0.670 0.831 0.566
0.146 0.965 0.750
0.330 0.169 0.434
0.079 0.380 0.250
0.421 0.880 0.250
0.921 0.620 0.750
0.579 0.120 0.750